1.
NbAlAsO | PBE | relaxed

Calculated values
Symmetry   No. 26
Energy above the most stable polymorph in this dataset   0.107 eV per atom
Magnetic moment   0.00 μB per formula unit

Cell: 3.4674 6.2995 5.6009 Å, 90.00 90.00 90.00°
With the nearest neighbours (Å) after each atom.
Positions (direct):
Nb: 0.0000 0.0029 0.0000  2 O 2.26-2.30
Nb: 0.0000 0.9971 0.5000  2 O 2.26-2.30
Al: 0.5000 0.3527 0.7181  2 O 1.79
Al: 0.5000 0.6473 0.2181  2 O 1.79
As: 0.5000 0.2512 0.2480  2 Al 2.50-2.71, 4 Nb 2.72-2.75
As: 0.5000 0.7488 0.7480  2 Al 2.50-2.71, 4 Nb 2.72-2.75
O: 0.0000 0.2861 0.7511  2 Al 1.79
O: 0.0000 0.7139 0.2511  2 Al 1.79


2.
NbAlAsO | PBE | relaxed

Calculated values
Symmetry   No. 26
Energy above the most stable polymorph in this dataset   0.264 eV per atom
Magnetic moment   0.01 μB per formula unit

Cell: 3.6868 6.4612 5.1883 Å, 90.00 90.00 90.00°
With the nearest neighbours (Å) after each atom.
Positions (direct):
Nb: 0.0000 0.1172 0.0000  2 O 2.17
Nb: 0.0000 0.8828 0.5000  2 O 2.17
Al: 0.5000 0.4990 0.7491  2 O 1.85
Al: 0.5000 0.5010 0.2491  2 O 1.85
As: 0.0000 0.2839 0.5000  3 Nb 2.59-2.81, 4 Al 2.65-2.66
As: 0.0000 0.7161 0.0000  3 Nb 2.59-2.81, 4 Al 2.65-2.66
O: 0.5000 0.2957 0.0004  2 Al 1.85
O: 0.5000 0.7043 0.5004  2 Al 1.85


3.
NbAlAsO | PBE | relaxed

Calculated values
Symmetry   No. 129
Energy above the most stable polymorph in this dataset   0.000 eV per atom
Magnetic moment   0.02 μB per formula unit

Cell: 3.7774 3.7774 9.7515 Å, 90.00 90.00 90.00°
With the nearest neighbours (Å) after each atom.
Positions (direct):
Nb: 0.2500 0.7500 0.0000  4 As 2.65, 4 Nb 2.67
Nb: 0.7500 0.2500 0.0000  4 As 2.65, 4 Nb 2.67
Al: 0.2500 0.2500 0.4328  4 O 2.00
Al: 0.7500 0.7500 0.5672  4 O 2.00
As: 0.2500 0.2500 0.1899  1 Al 2.37, 4 Nb 2.65
As: 0.7500 0.7500 0.8101  1 Al 2.37, 4 Nb 2.65
O: 0.2500 0.7500 0.5000  4 Al 2.00
O: 0.7500 0.2500 0.5000  4 Al 2.00


4.
Al2NiAs | PBE | relaxed

Calculated values
Symmetry   No. 216
Final energy   -17.4 eV/cell
Magnetic moment   0.00 μB per formula unit

Cell: 4.4354 4.4354 4.4354 Å, 60.00 60.00 60.00°
With the nearest neighbours (Å) after each atom.
Positions (direct):
Al: 0.0000 0.0000 0.0000  4 Ni 2.72, 4 Al 2.72
Al: 0.2500 0.2500 0.2500  4 As 2.72, 4 Al 2.72
Ni: 0.7500 0.7500 0.7500  4 As 2.72, 4 Al 2.72
As: 0.5000 0.5000 0.5000  4 Ni 2.72, 4 Al 2.72


5.
AlNiAs2 | PBE | relaxed

Calculated values
Symmetry   No. 216
Final energy   -17.6 eV/cell
Magnetic moment   0.00 μB per formula unit

Cell: 4.4896 4.4896 4.4896 Å, 60.00 60.00 60.00°
With the nearest neighbours (Å) after each atom.
Positions (direct):
Al: 0.0000 0.0000 0.0000  4 As 2.75, 4 Ni 2.75
Ni: 0.7500 0.7500 0.7500  4 As 2.75, 4 Al 2.75
As: 0.2500 0.2500 0.2500  4 As 2.75, 4 Al 2.75
As: 0.5000 0.5000 0.5000  4 As 2.75, 4 Ni 2.75


6.
AlAsOsO | PBE | relaxed

Calculated values
Symmetry   No. 129
Energy above the most stable polymorph in this dataset   1.318 eV per atom
Magnetic moment   0.00 μB per formula unit

Cell: 3.6270 3.6270 8.4063 Å, 90.00 90.00 90.00°
With the nearest neighbours (Å) after each atom.
Positions (direct):
Al: 0.2500 0.7500 0.0000  4 Al 2.56, 4 As 2.69
Al: 0.7500 0.2500 0.0000  4 Al 2.56, 4 As 2.69
As: 0.2500 0.2500 0.2360  4 Al 2.69, 4 Os 2.73, 4 O 2.87
As: 0.7500 0.7500 0.7640  4 Al 2.69, 4 Os 2.73, 4 O 2.87
Os: 0.2500 0.2500 0.6536  4 O 2.23
Os: 0.7500 0.7500 0.3464  4 O 2.23
O: 0.2500 0.7500 0.5000  4 Os 2.23
O: 0.7500 0.2500 0.5000  4 Os 2.23


7.
AlAsOsO | PBE | relaxed

Calculated values
Symmetry   No. 26
Energy above the most stable polymorph in this dataset   0.442 eV per atom
Magnetic moment   0.00 μB per formula unit

Cell: 4.3689 4.8819 5.4753 Å, 90.00 90.00 90.00°
With the nearest neighbours (Å) after each atom.
Positions (direct):
Al: 0.0000 0.1908 0.0000  2 O 1.80-1.82
Al: 0.0000 0.8092 0.5000  2 O 1.80-1.82
As: 0.5000 0.3663 0.7841  3 Os 2.45-2.51, 2 Al 2.63
As: 0.5000 0.6337 0.2841  3 Os 2.45-2.51, 2 Al 2.63
Os: 0.5000 0.1355 0.3872  2 O 2.21, 1 As 2.45
Os: 0.5000 0.8645 0.8872  2 O 2.21, 1 As 2.45
O: 0.0000 0.1251 0.3230  2 Al 1.80-1.82
O: 0.0000 0.8749 0.8230  2 Al 1.80-1.82


8.
AlAsOsO | PBE | relaxed

Calculated values
Symmetry   No. 26
Energy above the most stable polymorph in this dataset   0.400 eV per atom
Magnetic moment   0.00 μB per formula unit

Cell: 3.6399 5.5823 5.6286 Å, 90.00 90.00 90.00°
With the nearest neighbours (Å) after each atom.
Positions (direct):
Al: 0.0000 0.1820 0.0000  2 O 1.86
Al: 0.0000 0.8180 0.5000  2 O 1.86
As: 0.0000 0.2766 0.4666  4 Os 2.53-2.71, 2 Al 2.57-2.68
As: 0.0000 0.7234 0.9666  4 Os 2.53-2.71, 2 Al 2.57-2.68
Os: 0.5000 0.4938 0.6919  2 O 2.13-2.18
Os: 0.5000 0.5062 0.1919  2 O 2.13-2.18
O: 0.5000 0.2078 0.9411  2 Al 1.86
O: 0.5000 0.7922 0.4411  2 Al 1.86


9.
AlAsOsO | PBE | relaxed

Calculated values
Symmetry   No. 129
Energy above the most stable polymorph in this dataset   0.000 eV per atom
Magnetic moment   0.00 μB per formula unit

Cell: 3.8658 3.8658 8.9662 Å, 90.00 90.00 90.00°
With the nearest neighbours (Å) after each atom.
Positions (direct):
Al: 0.2500 0.2500 0.0646  4 O 2.02
Al: 0.7500 0.7500 0.9354  4 O 2.02
As: 0.2500 0.2500 0.3361  4 Os 2.43, 1 Al 2.43
As: 0.7500 0.7500 0.6639  4 Os 2.43, 1 Al 2.43
Os: 0.2500 0.7500 0.5000  4 As 2.43
Os: 0.7500 0.2500 0.5000  4 As 2.43
O: 0.2500 0.7500 0.0000  4 Al 2.02
O: 0.7500 0.2500 0.0000  4 Al 2.02


10.
PaAlAsO | PBE | relaxed

Calculated values
Symmetry   No. 26
Energy above the most stable polymorph in this dataset   0.046 eV per atom
Magnetic moment   1.07 μB per formula unit

Cell: 3.9444 4.8203 7.2124 Å, 90.00 90.00 90.00°
With the nearest neighbours (Å) after each atom.
Positions (direct):
Pa: 0.0000 0.1810 0.0000  3 O 2.58-2.67
Pa: 0.0000 0.8190 0.5000  3 O 2.58-2.67
Al: 0.5000 0.3291 0.3417  2 O 1.97
Al: 0.5000 0.6709 0.8417  2 O 1.97
As: 0.5000 0.1812 0.6905  3 Al 2.60-2.69
As: 0.5000 0.8188 0.1905  3 Al 2.60-2.69
O: 0.0000 0.3168 0.3454  2 Al 1.97
O: 0.0000 0.6832 0.8454  2 Al 1.97


11.
PaAlAsO | PBE | relaxed

Calculated values
Symmetry   No. 129
Energy above the most stable polymorph in this dataset   0.000 eV per atom
Magnetic moment   0.93 μB per formula unit

Cell: 3.8638 3.8638 10.0316 Å, 90.00 90.00 90.00°
With the nearest neighbours (Å) after each atom.
Positions (direct):
Pa: 0.2500 0.2500 0.1386  4 O 2.38
Pa: 0.7500 0.7500 0.8614  4 O 2.38
Al: 0.2500 0.7500 0.5000  4 Al 2.73, 4 As 2.92
Al: 0.7500 0.2500 0.5000  4 Al 2.73, 4 As 2.92
As: 0.2500 0.2500 0.7181  4 Al 2.92, 4 Pa 3.09
As: 0.7500 0.7500 0.2819  4 Al 2.92, 4 Pa 3.09
O: 0.2500 0.7500 0.0000  4 Pa 2.38
O: 0.7500 0.2500 0.0000  4 Pa 2.38


12.
PaAlAsO | PBE | relaxed

Calculated values
Symmetry   No. 26
Energy above the most stable polymorph in this dataset   0.213 eV per atom
Magnetic moment   1.31 μB per formula unit

Cell: 4.5986 6.0090 5.8585 Å, 90.00 90.00 90.00°
With the nearest neighbours (Å) after each atom.
Positions (direct):
Pa: 0.0000 0.2187 0.0000  2 O 2.51
Pa: 0.0000 0.7813 0.5000  2 O 2.51
Al: 0.5000 0.3563 0.6294  2 O 1.88-1.92
Al: 0.5000 0.6437 0.1294  2 O 1.88-1.92
As: 0.0000 0.2578 0.4967  2 Al 2.50
As: 0.0000 0.7422 0.9967  2 Al 2.50
O: 0.5000 0.3797 0.9556  2 Al 1.88-1.92
O: 0.5000 0.6203 0.4556  2 Al 1.88-1.92


13.
PaAlAsO | PBE | relaxed

Calculated values
Symmetry   No. 129
Energy above the most stable polymorph in this dataset   0.008 eV per atom
Magnetic moment   0.33 μB per formula unit

Cell: 4.0575 4.0575 10.0558 Å, 90.00 90.00 90.00°
With the nearest neighbours (Å) after each atom.
Positions (direct):
Pa: 0.2500 0.7500 0.0000  4 Pa 2.87, 4 As 2.93
Pa: 0.7500 0.2500 0.0000  4 Pa 2.87, 4 As 2.93
Al: 0.2500 0.2500 0.4481  4 O 2.09
Al: 0.7500 0.7500 0.5519  4 O 2.09
As: 0.2500 0.2500 0.2099  1 Al 2.40
As: 0.7500 0.7500 0.7901  1 Al 2.40
O: 0.2500 0.7500 0.5000  4 Al 2.09
O: 0.7500 0.2500 0.5000  4 Al 2.09


14.
AlAsPdO | PBE | relaxed

Calculated values
Symmetry   No. 129
Energy above the most stable polymorph in this dataset   0.921 eV per atom

Cell: 4.0410 4.0410 8.4956 Å, 90.00 90.00 90.00°
With the nearest neighbours (Å) after each atom.
Positions (direct):
Al: 0.2500 0.7500 0.0000  4 As 2.55, 4 Al 2.86
Al: 0.7500 0.2500 0.0000  4 As 2.55, 4 Al 2.86
As: 0.2500 0.2500 0.1837  4 Al 2.55
As: 0.7500 0.7500 0.8163  4 Al 2.55
Pd: 0.2500 0.2500 0.5625  4 O 2.09
Pd: 0.7500 0.7500 0.4375  4 O 2.09
O: 0.2500 0.7500 0.5000  4 Pd 2.09
O: 0.7500 0.2500 0.5000  4 Pd 2.09


15.
AlAsPdO | PBE | relaxed

Calculated values
Symmetry   No. 26
Energy above the most stable polymorph in this dataset   0.101 eV per atom

Cell: 3.7205 7.0120 5.1512 Å, 90.00 90.00 90.00°
With the nearest neighbours (Å) after each atom.
Positions (direct):
Al: 0.0000 0.1450 0.0000  2 O 1.74
Al: 0.0000 0.8550 0.5000  2 O 1.74
As: 0.5000 0.3603 0.8469  2 Pd 2.39-2.51, 2 Al 2.52
As: 0.5000 0.6397 0.3469  2 Pd 2.39-2.51, 2 Al 2.52
Pd: 0.5000 0.2996 0.3661  2 As 2.39-2.51, 2 O 2.49
Pd: 0.5000 0.7004 0.8661  2 As 2.39-2.51, 2 O 2.49
O: 0.0000 0.0655 0.3210  2 Al 1.74
O: 0.0000 0.9345 0.8210  2 Al 1.74


16.
AlAsPdO | PBE | relaxed

Calculated values
Symmetry   No. 129
Energy above the most stable polymorph in this dataset   0.079 eV per atom

Cell: 3.6229 3.6229 9.1868 Å, 90.00 90.00 90.00°
With the nearest neighbours (Å) after each atom.
Positions (direct):
Al: 0.2500 0.2500 0.0833  4 O 1.97
Al: 0.7500 0.7500 0.9167  4 O 1.97
As: 0.2500 0.2500 0.6981  4 Pd 2.57
As: 0.7500 0.7500 0.3019  4 Pd 2.57
Pd: 0.2500 0.7500 0.5000  4 Pd 2.56, 4 As 2.57
Pd: 0.7500 0.2500 0.5000  4 Pd 2.56, 4 As 2.57
O: 0.2500 0.7500 0.0000  4 Al 1.97
O: 0.7500 0.2500 0.0000  4 Al 1.97


17.
AlAsPdO | PBE | relaxed

Calculated values
Symmetry   No. 26
Energy above the most stable polymorph in this dataset   0.000 eV per atom

Cell: 3.0049 6.3631 6.4296 Å, 90.00 90.00 90.00°
With the nearest neighbours (Å) after each atom.
Positions (direct):
Al: 0.0000 0.1896 0.0000  2 O 1.75
Al: 0.0000 0.8104 0.5000  2 O 1.75
As: 0.0000 0.4308 0.3225  2 Al 2.58-2.67, 4 Pd 2.59-2.65
As: 0.0000 0.5692 0.8225  2 Al 2.58-2.67, 4 Pd 2.59-2.65
Pd: 0.5000 0.2967 0.6350  1 O 2.33, 2 As 2.59
Pd: 0.5000 0.7033 0.1350  1 O 2.33, 2 As 2.59
O: 0.5000 0.0494 0.0153  2 Al 1.75
O: 0.5000 0.9506 0.5153  2 Al 1.75


18.
AlAsPtO | PBE | relaxed

Calculated values
Symmetry   No. 129
Energy above the most stable polymorph in this dataset   1.098 eV per atom
Magnetic moment   0.00 μB per formula unit

Cell: 4.0628 4.0628 8.4855 Å, 90.00 90.00 90.00°
With the nearest neighbours (Å) after each atom.
Positions (direct):
Al: 0.2500 0.7500 0.0000  4 As 2.55
Al: 0.7500 0.2500 0.0000  4 As 2.55
As: 0.2500 0.2500 0.1813  4 Al 2.55
As: 0.7500 0.7500 0.8187  4 Al 2.55
Pt: 0.2500 0.2500 0.5635  4 O 2.10
Pt: 0.7500 0.7500 0.4365  4 O 2.10
O: 0.2500 0.7500 0.5000  4 Pt 2.10
O: 0.7500 0.2500 0.5000  4 Pt 2.10


19.
AlAsPtO | PBE | relaxed

Calculated values
Symmetry   No. 129
Energy above the most stable polymorph in this dataset   0.099 eV per atom
Magnetic moment   0.02 μB per formula unit

Cell: 3.6890 3.6890 9.2051 Å, 90.00 90.00 90.00°
With the nearest neighbours (Å) after each atom.
Positions (direct):
Al: 0.2500 0.2500 0.0806  4 O 1.99
Al: 0.7500 0.7500 0.9194  4 O 1.99
As: 0.2500 0.2500 0.6939  4 Pt 2.57
As: 0.7500 0.7500 0.3061  4 Pt 2.57
Pt: 0.2500 0.7500 0.5000  4 As 2.57, 4 Pt 2.61
Pt: 0.7500 0.2500 0.5000  4 As 2.57, 4 Pt 2.61
O: 0.2500 0.7500 0.0000  4 Al 1.99
O: 0.7500 0.2500 0.0000  4 Al 1.99


20.
AlAsPtO | PBE | relaxed

Calculated values
Symmetry   No. 26
Energy above the most stable polymorph in this dataset   0.000 eV per atom
Magnetic moment   0.01 μB per formula unit

Cell: 2.8936 8.8112 5.0170 Å, 90.00 90.00 90.00°
With the nearest neighbours (Å) after each atom.
Positions (direct):
Al: 0.0000 0.1043 0.0000  2 O 1.70-1.71
Al: 0.0000 0.8957 0.5000  2 O 1.70-1.71
As: 0.5000 0.3725 0.5974  3 Pt 2.51-2.60
As: 0.5000 0.6275 0.0974  3 Pt 2.51-2.60
Pt: 0.5000 0.3320 0.1015  3 As 2.51-2.60, 2 Al 2.53
Pt: 0.5000 0.6680 0.6015  3 As 2.51-2.60, 2 Al 2.53
O: 0.0000 0.0639 0.6668  2 Al 1.70-1.71
O: 0.0000 0.9361 0.1668  2 Al 1.70-1.71


21.
AlAsPtO | PBE | relaxed

Calculated values
Symmetry   No. 26
Energy above the most stable polymorph in this dataset   0.054 eV per atom
Magnetic moment   0.00 μB per formula unit

Cell: 2.8766 6.7930 6.1670 Å, 90.00 90.00 90.00°
With the nearest neighbours (Å) after each atom.
Positions (direct):
Al: 0.0000 0.1495 0.0000  2 O 1.77
Al: 0.0000 0.8505 0.5000  2 O 1.77
As: 0.0000 0.4021 0.3175  4 Pt 2.57-2.75, 1 Al 2.60
As: 0.0000 0.5979 0.8175  4 Pt 2.57-2.75, 1 Al 2.60
Pt: 0.5000 0.3096 0.6829  1 O 2.28
Pt: 0.5000 0.6904 0.1829  1 O 2.28
O: 0.5000 0.0060 0.0588  2 Al 1.77
O: 0.5000 0.9940 0.5588  2 Al 1.77


22.
TaAlAsO | PBE | relaxed

Calculated values
Symmetry   No. 129
Energy above the most stable polymorph in this dataset   0.000 eV per atom
Magnetic moment   0.01 μB per formula unit

Cell: 3.7886 3.7886 9.7408 Å, 90.00 90.00 90.00°
With the nearest neighbours (Å) after each atom.
Positions (direct):
Ta: 0.2500 0.7500 0.0000  4 As 2.64, 4 Ta 2.68
Ta: 0.7500 0.2500 0.0000  4 As 2.64, 4 Ta 2.68
Al: 0.2500 0.2500 0.4332  4 O 2.00
Al: 0.7500 0.7500 0.5668  4 O 2.00
As: 0.2500 0.2500 0.1891  1 Al 2.38, 4 Ta 2.64
As: 0.7500 0.7500 0.8109  1 Al 2.38, 4 Ta 2.64
O: 0.2500 0.7500 0.5000  4 Al 2.00
O: 0.7500 0.2500 0.5000  4 Al 2.00


23.
TaAlAsO | PBE | relaxed

Calculated values
Symmetry   No. 26
Energy above the most stable polymorph in this dataset   0.149 eV per atom
Magnetic moment   0.00 μB per formula unit

Cell: 3.4099 6.3443 5.6204 Å, 90.00 90.00 90.00°
With the nearest neighbours (Å) after each atom.
Positions (direct):
Ta: 0.0000 0.0041 0.0000  2 O 2.23-2.29
Ta: 0.0000 0.9959 0.5000  2 O 2.23-2.29
Al: 0.5000 0.3548 0.6938  2 O 1.80
Al: 0.5000 0.6452 0.1938  2 O 1.80
As: 0.5000 0.2521 0.2423  2 Al 2.51-2.62, 4 Ta 2.69-2.77
As: 0.5000 0.7479 0.7423  2 Al 2.51-2.62, 4 Ta 2.69-2.77
O: 0.0000 0.2789 0.7517  2 Al 1.80
O: 0.0000 0.7211 0.2517  2 Al 1.80


24.
TaAlAsO | PBE | relaxed

Calculated values
Symmetry   No. 129
Energy above the most stable polymorph in this dataset   0.391 eV per atom
Magnetic moment   0.31 μB per formula unit

Cell: 3.4994 3.4994 9.8844 Å, 90.00 90.00 90.00°
With the nearest neighbours (Å) after each atom.
Positions (direct):
Ta: 0.2500 0.2500 0.1307  4 O 2.18
Ta: 0.7500 0.7500 0.8693  4 O 2.18
Al: 0.2500 0.7500 0.5000  4 Al 2.47
Al: 0.7500 0.2500 0.5000  4 Al 2.47
As: 0.2500 0.2500 0.7391  4 Ta 2.79, 4 Al 2.94, 4 O 3.12
As: 0.7500 0.7500 0.2609  4 Ta 2.79, 4 Al 2.94, 4 O 3.12
O: 0.2500 0.7500 0.0000  4 Ta 2.18
O: 0.7500 0.2500 0.0000  4 Ta 2.18


25.
TaAlAsO | PBE | relaxed

Calculated values
Symmetry   No. 26
Energy above the most stable polymorph in this dataset   0.293 eV per atom
Magnetic moment   0.00 μB per formula unit

Cell: 3.6105 6.5138 5.1642 Å, 90.00 90.00 90.00°
With the nearest neighbours (Å) after each atom.
Positions (direct):
Ta: 0.0000 0.1120 0.0000  2 O 2.15
Ta: 0.0000 0.8880 0.5000  2 O 2.15
Al: 0.5000 0.4994 0.2508  2 O 1.87
Al: 0.5000 0.5006 0.7508  2 O 1.87
As: 0.0000 0.2851 0.4998  3 Ta 2.59-2.82, 4 Al 2.62-2.63
As: 0.0000 0.7149 0.9998  3 Ta 2.59-2.82, 4 Al 2.62-2.63
O: 0.5000 0.2920 0.0002  2 Al 1.87
O: 0.5000 0.7080 0.5002  2 Al 1.87